Entry 1:
## BaHfRh2Cl (PBE-GGA)

Data for crystalline BaHfRh2Cl at its relaxed geometry.

Unit cell a=4.7327 b=4.7327 c=7.2986 alpha=90.00 beta=90.00 gamma=90.00
Fractional positions:
Ba (0.0000, 0.0000, 0.0000)
Hf (0.0000, 0.0000, 0.5000)
Rh (0.0000, 0.5000, 0.5000)
Rh (0.5000, 0.0000, 0.5000)
Cl (0.5000, 0.5000, 0.0000)

Calculated values
* calculated density: 5659 kg/m³
* ΔE_f (raw): 0.0061 eV/atom
* DOS(E_F): 0.497 states/eV per atom
* volume: 163.48 Å³/f.u.
* total magnetization: 0.0 μB per cell
* SG: P4/mmm, No. 123
* total energy: -28.4 eV/cell

Entry 2:
## HfAuS2N (PBE-GGA)

Data for crystalline HfAuS2N at its relaxed geometry.

Unit cell a=5.0161 b=5.0161 c=4.0472 alpha=90.00 beta=90.00 gamma=90.00
Fractional positions:
Hf (0.0000, 0.0000, 0.0000)
Au (0.5000, 0.5000, 0.5000)
S (0.0000, 0.5000, 0.0000)
S (0.5000, 0.0000, 0.0000)
N (0.0000, 0.0000, 0.5000)

Calculated values
* calculated density: 7397 kg/m³
* ΔE_f (raw): 0.1663 eV/atom
* DOS(E_F): 1.280 states/eV per atom
* volume: 101.83 Å³/f.u.
* total magnetization: 0.0 μB per cell
* SG: P4/mmm, No. 123
* energy above the most stable polymorph in this dataset: 0 meV/atom
* total energy: -29.0 eV/cell

Entry 3:
## YBe4GeIr2 (PBE-GGA)

Data for crystalline YBe4GeIr2 at its relaxed geometry.

Unit cell a=9.0032 b=9.0032 c=9.0032 alpha=25.06 beta=25.06 gamma=25.06
Fractional positions:
Y (0.0000, 0.0000, 0.0000)
Be (0.1087, 0.1087, 0.1087)
Be (0.4092, 0.4092, 0.4092)
Be (0.5908, 0.5908, 0.5908)
Be (0.8913, 0.8913, 0.8913)
Ge (0.5000, 0.5000, 0.5000)
Ir (0.2480, 0.2480, 0.2480)
Ir (0.7520, 0.7520, 0.7520)

Calculated values
* calculated density: 8389 kg/m³
* DOS(E_F): 0.325 states/eV per atom
* volume: 115.20 Å³/f.u.
* total magnetization: 0.0 μB per cell
* SG: R-3m, No. 166
* total energy: -45.9 eV/cell
* energy of formation: -0.28 eV/atom